No. 1
First-principles (GGA-PBEsol) data for a relaxed KSnB2Cl crystal, as listed in Alexandria.

Structure (CIF):
```
data_KSnB2Cl
_chemical_formula_sum 'K1 Sn1 B2 Cl1'
_symmetry_space_group_name_H-M 'P 1'
_symmetry_Int_Tables_number 1
_cell_length_a 4.607
_cell_length_b 4.607
_cell_length_c 5.174
_cell_angle_alpha 90.00
_cell_angle_beta 90.00
_cell_angle_gamma 90.00
loop_
_symmetry_equiv_pos_as_xyz
'x,y,z'
loop_
_atom_site_label
_atom_site_type_symbol
_atom_site_fract_x
_atom_site_fract_y
_atom_site_fract_z
B1 B 0.000 0.500 0.000
B2 B 0.500 0.000 0.000
K1 K 0.000 0.000 0.500
Cl1 Cl 0.000 0.000 0.000
Sn1 Sn 0.500 0.500 0.500
```

Values from the calculation:
* space-group type: P4/mmm
* mass density: 3.25 Mg/m³
* V: 110 Å³/f.u.
* formation energy (no corrections): 759 kJ/mol of formula units

No. 2
First-principles (GGA-PBEsol) data for a relaxed LaB2Cl crystal, as listed in Alexandria.

Structure (CIF):
```
data_LaB2Cl
_chemical_formula_sum 'La1 B2 Cl1'
_symmetry_space_group_name_H-M 'P 1'
_symmetry_Int_Tables_number 1
_cell_length_a 4.553
_cell_length_b 4.553
_cell_length_c 4.553
_cell_angle_alpha 60.00
_cell_angle_beta 60.00
_cell_angle_gamma 60.00
loop_
_symmetry_equiv_pos_as_xyz
'x,y,z'
loop_
_atom_site_label
_atom_site_type_symbol
_atom_site_fract_x
_atom_site_fract_y
_atom_site_fract_z
La1 La 0.500 0.500 0.500
B1 B 0.750 0.750 0.750
B2 B 0.250 0.250 0.250
Cl1 Cl 0.000 0.000 0.000
```

Values from the calculation:
* space-group type: Fm-3m
* mass density: 4.88 Mg/m³
* V: 67 Å³/f.u.
* formation energy (no corrections): 376 kJ/mol of formula units